# 1
This record from Alexandria via LeMat-Bulk describes a geometry-optimized Ho5MgCd3 structure. The functional is PBE-GGA.

The structure belongs to space group P6_3/mcm (No. 193); the cell edges are 9.1588, 9.1588 and 6.6664 Å and the angles 90.00°, 90.00° and 120.00°. The inequivalent atoms are Ho at (0.0000, 0.3147, 0.2500), Ho at (0.3333, 0.6667, 0.0000), Mg at (0.0000, 0.0000, 0.0000) and Cd at (0.0000, 0.3506, 0.7500).

The value obtained for the energy of formation from the pure elements is -4.19 kcal/mol of atoms. The value obtained for the density of states at the Fermi level is 1.275 states/eV/atom. Its density is 8134 kg/m³.

# 2
This record from Alexandria via LeMat-Bulk describes a geometry-optimized Pa2PtPbO8 structure. The functional is PBE-GGA.

The structure belongs to space group Cmmm (No. 65); the cell edges are 7.035, 7.198 and 7.182 Å and the angles 90.00°, 90.00° and 90.00°. The inequivalent atoms are Pa at (0.000, 0.000, 0.244), Pt at (0.000, 0.500, 0.000), Pb at (0.000, 0.500, 0.500), O at (0.000, 0.170, 0.500), O at (0.000, 0.208, 0.000) and O at (0.203, 0.500, 0.204).

The calculation puts the uncorrected formation energy at -2.30 eV/atom. Its density is 9063 kg/m³.

# 3
This record from Alexandria via LeMat-Bulk describes a geometry-optimized Ca3Pm3HoS8 structure. The functional is PBE-GGA.

The structure belongs to space group R-3m (No. 166, hexagonal axes); the cell edges are 8.0264, 8.0264 and 19.8161 Å and the angles 90.00°, 90.00° and 120.00°. The inequivalent atoms are Ca at (0.0000, 0.5000, 0.0000), Pm at (0.0000, 0.5000, 0.5000), Ho at (0.0000, 0.0000, 0.5000), S at (0.0000, 0.0000, 0.2510) and S at (0.0111, 0.5056, 0.2469).

The value obtained for the density of states at the Fermi level is 0.292 states/eV/atom. The calculation puts the uncorrected formation energy at -2.09 eV/atom. Its density is 4401 kg/m³.

> Which formula does entry 1 have?

Ho5MgCd3

> Number 3 is which compound?

Ca3Pm3HoS8

What did the first record say?
This record from Alexandria via LeMat-Bulk describes a geometry-optimized Ho5MgCd3 structure. The functional is PBE-GGA.

The structure belongs to space group P6_3/mcm (No. 193); the cell edges are 9.1588, 9.1588 and 6.6664 Å and the angles 90.00°, 90.00° and 120.00°. The inequivalent atoms are Ho at (0.0000, 0.3147, 0.2500), Ho at (0.3333, 0.6667, 0.0000), Mg at (0.0000, 0.0000, 0.0000) and Cd at (0.0000, 0.3506, 0.7500).

The value obtained for the energy of formation from the pure elements is -4.19 kcal/mol of atoms. The value obtained for the density of states at the Fermi level is 1.275 states/eV/atom. Its density is 8134 kg/m³.